This record from the Alexandria database describes Nd3Al3In after structural relaxation. The functional is PBE.

Lattice parameters (Å, degrees): 6.189 6.189 14.891 108.19 108.19 43.97
Fractional coordinates of all 14 atoms:
Nd 0.024 0.024 0.376
Nd 0.107 0.107 0.925
Nd 0.239 0.239 0.219
Nd 0.761 0.761 0.781
Nd 0.893 0.893 0.075
Nd 0.976 0.976 0.624
Al 0.376 0.376 0.455
Al 0.397 0.397 0.925
Al 0.474 0.474 0.774
Al 0.526 0.526 0.226
Al 0.603 0.603 0.075
Al 0.624 0.624 0.545
In 0.261 0.261 0.609
In 0.739 0.739 0.391

Output
calculated total energy	-4.44	eV per atom
formation enthalpy at 0 K	-0.406	eV per atom
symmetry	No. 12

=====

This record from the Alexandria database describes CuPtF2 after structural relaxation. The functional is PBE.

Lattice parameters (Å, degrees): 4.111 4.111 4.111 60.00 60.00 60.00
Fractional coordinates of all 4 atoms:
Cu 0.000 0.000 0.000
Pt 0.500 0.500 0.500
F 0.250 0.250 0.250
F 0.750 0.750 0.750

Output
calculated total energy	-3.55	eV per atom
energy above the lowest structure with this stoichiometry	689	meV per atom
uncorrected formation energy	-0.328	eV/f.u.
symmetry	No. 225

=====

Look up the calculated total energy of the second one.
-3.55 eV per atom

=====

What did the first record say?
This record from the Alexandria database describes Nd3Al3In after structural relaxation. The functional is PBE.

Lattice parameters (Å, degrees): 6.189 6.189 14.891 108.19 108.19 43.97
Fractional coordinates of all 14 atoms:
Nd 0.024 0.024 0.376
Nd 0.107 0.107 0.925
Nd 0.239 0.239 0.219
Nd 0.761 0.761 0.781
Nd 0.893 0.893 0.075
Nd 0.976 0.976 0.624
Al 0.376 0.376 0.455
Al 0.397 0.397 0.925
Al 0.474 0.474 0.774
Al 0.526 0.526 0.226
Al 0.603 0.603 0.075
Al 0.624 0.624 0.545
In 0.261 0.261 0.609
In 0.739 0.739 0.391

Output
calculated total energy	-4.44	eV per atom
formation enthalpy at 0 K	-0.406	eV per atom
symmetry	No. 12